Entry from Alexandria: crystalline KMn3F at its relaxed geometry (PBE with a Hubbard U).

Summary:
Relative energy among the computed polymorphs: 984.0 meV per atom
SG: Pm-3m
Crystal system: cubic

abc: 6.638 6.638 6.638
angles: 90.00 90.00 90.00
Element x y z (fractional)
K: 0.000 0.000 0.000
Mn: 0.500 0.000 0.000
Mn: 0.000 0.500 0.000
Mn: 0.000 0.000 0.500
F: 0.500 0.500 0.500